Na3TmCr2Se6, relaxed, DFT PBE; calculated total energy = -61.53 eV per formula unit; formation energy without anion corrections = -1.079 eV/atom; space group = C2/m, No. 12; total moment = 0.500 μB/atom
1.0
-0.561 1.868 -6.401
-5.424 -1.938 3.407
0.923 6.605 3.021
Na Tm Cr Se
3 1 2 6
direct
0.162 0.838 0.500 Na
0.838 0.162 0.500 Na
0.500 0.500 0.500 Na
0.000 0.000 0.000 Tm
0.333 0.667 0.000 Cr
0.667 0.333 0.000 Cr
0.930 0.571 0.791 Se
0.711 0.711 0.210 Se
0.070 0.429 0.209 Se
0.571 0.930 0.791 Se
0.289 0.289 0.790 Se
0.429 0.070 0.209 Se

Na2UCr2Se6, relaxed, DFT PBE; calculated total energy = -64.21 eV per formula unit; DOS at the Fermi energy = 6.89 states/eV per cell; formation energy without anion corrections = -0.921 eV/atom; space group = C2/m, No. 12; total moment = 0.727 μB/atom
1.0
6.595 -0.050 0.065
-3.303 5.708 0.065
-1.131 -1.945 7.113
Na U Cr Se
2 1 2 6
direct
0.839 0.161 0.000 Na
0.161 0.839 0.000 Na
0.000 0.000 0.500 U
0.333 0.667 0.500 Cr
0.667 0.333 0.500 Cr
0.708 0.708 0.710 Se
0.066 0.424 0.709 Se
0.292 0.292 0.290 Se
0.424 0.066 0.709 Se
0.934 0.576 0.291 Se
0.576 0.934 0.291 Se

Na4UCr3Se8, relaxed, DFT PBE; calculated total energy = -87.63 eV per formula unit; DOS at the Fermi energy = 8.06 states/eV per cell; formation energy without anion corrections = -0.895 eV/atom; space group = R-3m, No. 166; total moment = 0.750 μB/atom
1.0
7.751 0.000 0.000
0.000 8.274 0.362
-3.876 -3.874 5.483
Na U Cr Se
4 1 3 8
direct
0.500 0.000 0.000 Na
0.500 0.000 0.500 Na
0.000 0.000 0.000 Na
0.000 0.000 0.500 Na
0.000 0.500 0.000 U
0.500 0.500 0.000 Cr
0.500 0.500 0.500 Cr
0.000 0.500 0.500 Cr
0.248 0.716 0.968 Se
0.248 0.716 0.495 Se
0.268 0.306 0.537 Se
0.720 0.716 0.968 Se
0.280 0.284 0.032 Se
0.732 0.694 0.463 Se
0.752 0.284 0.505 Se
0.752 0.284 0.032 Se

Na3UCr2Se6, relaxed, DFT PBE; calculated total energy = -66.69 eV per formula unit; DOS at the Fermi energy = 5.58 states/eV per cell; formation energy without anion corrections = -0.941 eV/atom; space group = C2/m, No. 12; total moment = 0.750 μB/atom
1.0
6.743 -0.001 -0.002
-3.371 5.840 -0.002
-1.126 -1.949 7.009
Na U Cr Se
3 1 2 6
direct
0.162 0.838 0.500 Na
0.838 0.162 0.500 Na
0.500 0.500 0.500 Na
0.000 0.000 0.000 U
0.333 0.667 0.000 Cr
0.667 0.333 0.000 Cr
0.928 0.574 0.786 Se
0.717 0.717 0.214 Se
0.072 0.426 0.214 Se
0.574 0.928 0.786 Se
0.283 0.283 0.786 Se
0.426 0.072 0.214 Se

NaUCrSe4, relaxed, DFT PBE; calculated total energy = -42.57 eV per formula unit; DOS at the Fermi energy = 11.44 states/eV per cell; formation energy without anion corrections = -0.915 eV/atom; space group = Imma, No. 74; total moment = 0.714 μB/atom
1.0
-3.081 -2.422 -6.892
7.259 2.930 0.285
-2.500 -7.626 3.797
Na U Cr Se
2 2 2 8
direct
0.815 0.630 0.065 Na
0.185 0.370 0.935 Na
0.500 0.000 0.500 U
0.500 0.000 0.000 U
0.500 0.500 0.500 Cr
0.000 0.500 0.500 Cr
0.768 0.537 0.706 Se
0.267 0.984 0.242 Se
0.716 0.984 0.242 Se
0.768 0.537 0.331 Se
0.232 0.463 0.669 Se
0.733 0.016 0.758 Se
0.284 0.016 0.758 Se
0.232 0.463 0.294 Se

Na2UCrSe4, relaxed, DFT PBE; calculated total energy = -45.39 eV per formula unit; DOS at the Fermi energy = 6.37 states/eV per cell; formation energy without anion corrections = -0.988 eV/atom; space group = P2/m, No. 10; total moment = 0.750 μB/atom
1.0
-3.269 0.722 2.290
2.728 -3.615 5.032
2.114 7.043 0.798
Na U Cr Se
2 1 1 4
direct
0.500 0.000 0.500 Na
0.000 0.500 0.500 Na
0.500 0.500 0.000 U
0.000 0.000 0.000 Cr
0.500 0.225 0.214 Se
0.500 0.775 0.786 Se
0.000 0.243 0.772 Se
0.000 0.757 0.228 Se

Na2U2CrSe6, relaxed, DFT PBE; calculated total energy = -67.01 eV per formula unit; DOS at the Fermi energy = 17.32 states/eV per cell; formation energy without anion corrections = -1.024 eV/atom; space group = C2/m, No. 12; total moment = 0.727 μB/atom
1.0
-6.811 1.033 0.913
2.421 -1.803 -6.258
0.637 -6.585 3.425
Na U Cr Se
2 2 1 6
direct
0.832 0.168 0.000 Na
0.168 0.832 0.000 Na
0.333 0.667 0.500 U
0.667 0.333 0.500 U
0.000 0.000 0.500 Cr
0.762 0.762 0.715 Se
0.075 0.397 0.722 Se
0.238 0.238 0.285 Se
0.397 0.075 0.722 Se
0.925 0.603 0.278 Se
0.603 0.925 0.278 Se

Na3VCr3Se8, relaxed, DFT PBE; calculated total energy = -81.26 eV per formula unit; DOS at the Fermi energy = 5.86 states/eV per cell; formation energy without anion corrections = -0.762 eV/atom; space group = R-3m, No. 166; total moment = 0.667 μB/atom
1.0
-1.555 -7.109 -1.357
4.949 1.777 5.212
-7.898 1.391 1.763
Na V Cr Se
3 1 3 8
direct
0.000 0.000 0.000 Na
0.000 0.500 0.000 Na
0.500 0.500 0.000 Na
0.000 0.000 0.500 V
0.500 0.000 0.500 Cr
0.500 0.500 0.500 Cr
0.000 0.500 0.500 Cr
0.267 0.533 0.301 Se
0.733 0.467 0.699 Se
0.767 0.533 0.300 Se
0.233 0.467 0.700 Se
0.766 0.033 0.300 Se
0.234 0.967 0.700 Se
0.267 0.033 0.300 Se
0.733 0.967 0.700 Se

Na4VCr3Se8, relaxed, DFT PBE; calculated total energy = -84.23 eV per formula unit; DOS at the Fermi energy = 6.63 states/eV per cell; formation energy without anion corrections = -0.818 eV/atom; space group = R-3m, No. 166; total moment = 0.687 μB/atom
1.0
7.572 0.000 0.000
0.000 8.099 0.366
-3.786 -3.783 5.357
Na V Cr Se
4 1 3 8
direct
0.500 0.000 0.000 Na
0.500 0.000 0.500 Na
0.000 0.000 0.000 Na
0.000 0.000 0.500 Na
0.000 0.500 0.000 V
0.500 0.500 0.000 Cr
0.500 0.500 0.500 Cr
0.000 0.500 0.500 Cr
0.234 0.701 0.967 Se
0.234 0.701 0.469 Se
0.267 0.301 0.534 Se
0.732 0.701 0.967 Se
0.268 0.299 0.033 Se
0.733 0.699 0.466 Se
0.766 0.299 0.531 Se
0.766 0.299 0.033 Se

Na2VCrSe4, relaxed, DFT PBE; calculated total energy = -41.97 eV per formula unit; DOS at the Fermi energy = 5.33 states/eV per cell; formation energy without anion corrections = -0.831 eV/atom; space group = P2/m, No. 10; total moment = 0.625 μB/atom
1.0
3.765 0.000 0.000
0.000 6.579 0.119
0.000 -2.296 6.804
Na V Cr Se
2 1 1 4
direct
0.500 0.000 0.500 Na
0.000 0.500 0.500 Na
0.500 0.500 0.000 V
0.000 0.000 0.000 Cr
0.500 0.232 0.201 Se
0.500 0.768 0.799 Se
0.000 0.264 0.797 Se
0.000 0.736 0.203 Se

Na3VCr2Se6, relaxed, DFT PBE; calculated total energy = -63.05 eV per formula unit; DOS at the Fermi energy = 8.30 states/eV per cell; formation energy without anion corrections = -0.818 eV/atom; space group = C2/m, No. 12; total moment = 0.667 μB/atom
1.0
6.554 0.000 0.002
-3.275 5.677 0.002
-1.095 -1.896 6.836
Na V Cr Se
3 1 2 6
direct
0.166 0.834 0.500 Na
0.834 0.166 0.500 Na
0.500 0.500 0.500 Na
0.000 0.000 0.000 V
0.333 0.667 0.000 Cr
0.667 0.333 0.000 Cr
0.933 0.597 0.799 Se
0.732 0.732 0.201 Se
0.067 0.403 0.201 Se
0.597 0.933 0.799 Se
0.268 0.268 0.799 Se
0.403 0.067 0.201 Se

NaVCrSe3, relaxed, DFT PBE; calculated total energy = -34.65 eV per formula unit; DOS at the Fermi energy = 3.89 states/eV per cell; formation energy without anion corrections = -0.689 eV/atom; space group = P2_1/m, No. 11; total moment = 0.446 μB/atom
1.0
3.614 0.000 0.000
0.000 8.133 -0.430
0.000 -2.513 8.747
Na V Cr Se
2 2 2 6
direct
0.250 0.214 0.244 Na
0.750 0.786 0.756 Na
0.250 0.070 0.596 V
0.750 0.930 0.404 V
0.250 0.672 0.155 Cr
0.750 0.328 0.845 Cr
0.750 0.885 0.129 Se
0.250 0.115 0.871 Se
0.250 0.746 0.461 Se
0.750 0.254 0.539 Se
0.750 0.451 0.140 Se
0.250 0.549 0.860 Se

Na2VCr2Se6, relaxed, DFT PBE; calculated total energy = -60.17 eV per formula unit; DOS at the Fermi energy = 6.77 states/eV per cell; formation energy without anion corrections = -0.751 eV/atom; space group = C2/m, No. 12; total moment = 0.639 μB/atom
1.0
6.337 -0.004 0.049
-3.136 5.507 0.049
-1.121 -1.927 7.059
Na V Cr Se
2 1 2 6
direct
0.833 0.167 0.000 Na
0.167 0.833 0.000 Na
0.000 0.000 0.500 V
0.332 0.668 0.500 Cr
0.668 0.332 0.500 Cr
0.732 0.732 0.699 Se
0.069 0.401 0.700 Se
0.268 0.268 0.301 Se
0.401 0.069 0.700 Se
0.931 0.599 0.300 Se
0.599 0.931 0.300 Se

Na2YCrSe4, relaxed, DFT PBE; calculated total energy = -42.31 eV per formula unit; formation energy without anion corrections = -1.206 eV/atom; space group = P2/m, No. 10; total moment = 0.375 μB/atom
1.0
-2.171 -0.212 -3.326
-5.628 -0.991 3.736
0.857 7.240 -1.021
Na Y Cr Se
2 1 1 4
direct
0.500 0.000 0.500 Na
0.000 0.500 0.500 Na
0.000 0.000 0.000 Y
0.500 0.500 0.000 Cr
0.500 0.264 0.224 Se
0.500 0.736 0.776 Se
0.000 0.288 0.792 Se
0.000 0.712 0.208 Se

Na2Zr2CrSe6, relaxed, DFT PBE; calculated total energy = -62.77 eV per formula unit; DOS at the Fermi energy = 4.73 states/eV per cell; formation energy without anion corrections = -1.136 eV/atom; space group = C2/m, No. 12; total moment = 0.239 μB/atom
1.0
6.544 -0.016 0.049
-3.248 5.681 0.049
-1.181 -2.030 7.179
Na Zr Cr Se
2 2 1 6
direct
0.830 0.170 0.000 Na
0.170 0.830 0.000 Na
0.331 0.669 0.500 Zr
0.669 0.331 0.500 Zr
0.000 0.000 0.500 Cr
0.755 0.755 0.713 Se
0.078 0.394 0.717 Se
0.245 0.245 0.287 Se
0.394 0.078 0.717 Se
0.922 0.606 0.283 Se
0.606 0.922 0.283 Se

Na3Zr3CrSe8, relaxed, DFT PBE; calculated total energy = -84.91 eV per formula unit; DOS at the Fermi energy = 6.67 states/eV per cell; formation energy without anion corrections = -1.187 eV/atom; space group = R-3m, No. 166; total moment = 0.197 μB/atom
1.0
7.605 0.000 0.000
-3.802 6.588 -0.026
0.000 -4.365 7.270
Na Zr Cr Se
3 3 1 8
direct
0.000 0.000 0.000 Na
0.000 0.500 0.000 Na
0.500 0.500 0.000 Na
0.500 0.000 0.500 Zr
0.500 0.500 0.500 Zr
0.000 0.500 0.500 Zr
0.000 0.000 0.500 Cr
0.258 0.516 0.274 Se
0.742 0.484 0.726 Se
0.769 0.537 0.286 Se
0.231 0.463 0.714 Se
0.769 0.018 0.286 Se
0.231 0.982 0.714 Se
0.249 0.018 0.286 Se
0.751 0.982 0.714 Se

Na3Zr2CrSe6, relaxed, DFT PBE; calculated total energy = -65.00 eV per formula unit; DOS at the Fermi energy = 8.13 states/eV per cell; formation energy without anion corrections = -1.118 eV/atom; space group = C2/m, No. 12; total moment = 0.313 μB/atom
1.0
6.723 -0.002 -0.001
-3.361 5.823 -0.001
-1.122 -1.943 7.026
Na Zr Cr Se
3 2 1 6
direct
0.169 0.831 0.500 Na
0.831 0.169 0.500 Na
0.500 0.500 0.500 Na
0.334 0.666 0.000 Zr
0.666 0.334 0.000 Zr
0.000 0.000 0.000 Cr
0.927 0.602 0.781 Se
0.748 0.748 0.220 Se
0.073 0.398 0.219 Se
0.602 0.927 0.781 Se
0.252 0.252 0.780 Se
0.398 0.073 0.219 Se

Na2Cr2Si, relaxed, DFT PBE; calculated total energy = -23.66 eV per formula unit; DOS at the Fermi energy = 3.87 states/eV per cell; formation energy without anion corrections = 0.729 eV/atom; space group = I4/mmm, No. 139; total moment = 0.000 μB/atom
1.0
3.089 0.000 0.000
0.000 3.089 0.000
1.544 1.544 10.375
Cr Si Na
2 1 2
direct
0.750 0.250 0.500 Cr
0.250 0.750 0.500 Cr
0.000 0.000 0.000 Si
0.391 0.391 0.218 Na
0.609 0.609 0.782 Na

NaCr2Si, relaxed, DFT PBE; calculated total energy = -22.17 eV per formula unit; DOS at the Fermi energy = 6.53 states/eV per cell; formation energy without anion corrections = 0.956 eV/atom; space group = I4_1/amd, No. 141; total moment = 0.228 μB/atom
1.0
-1.927 -3.669 -0.558
3.679 -1.971 0.257
-0.149 -3.601 8.528
Cr Si Na
4 2 2
direct
0.875 0.125 0.250 Cr
0.875 0.625 0.250 Cr
0.375 0.125 0.750 Cr
0.875 0.125 0.750 Cr
0.000 0.000 0.000 Si
0.750 0.250 0.500 Si
0.500 0.500 0.000 Na
0.250 0.750 0.500 Na

Na3CrSi, relaxed, DFT PBE; calculated total energy = -13.34 eV per formula unit; DOS at the Fermi energy = 2.25 states/eV per cell; formation energy without anion corrections = 1.132 eV/atom; space group = Pm-3m, No. 221; total moment = 0.830 μB/atom
1.0
-1.961 5.142 -0.669
-3.452 -1.828 -3.934
-3.869 -0.975 3.849
Cr Si Na
1 1 3
direct
0.000 0.000 0.000 Cr
0.500 0.500 0.500 Si
0.000 0.500 0.000 Na
0.000 0.000 0.500 Na
0.500 0.000 0.000 Na